! PBE Te5C7, relaxed; values from VASP
! Symmetry ... No. 107
! Formation energy from raw total energies ... 1.248 eV per atom
&SYSTEM
  ibrav = 0, nat = 12, ntyp = 2
/
ATOMIC_SPECIES
Te 127.60 Te.upf
C 12.01 C.upf
CELL_PARAMETERS angstrom
-4.0848 4.0848 3.8975
4.0848 -4.0848 3.8975
4.0848 4.0848 -3.8975
ATOMIC_POSITIONS crystal
Te 0.0000 0.0000 0.0000
Te 0.1329 0.1329 0.5802
Te 0.1329 0.5526 0.0000
Te 0.5526 0.1329 0.0000
Te 0.5526 0.5526 0.4198
C 0.1067 0.4460 0.6607
C 0.2823 0.2823 0.0000
C 0.4460 0.1067 0.6607
C 0.4460 0.7853 0.3393
C 0.4491 0.9491 0.5000
C 0.7853 0.4460 0.3393
C 0.9491 0.4491 0.5000

---

! PBE DyEr2Tm4, relaxed; values from VASP
! ΔE_f ... 0.081 eV per atom
! Symmetry ... No. 1
&SYSTEM
  ibrav = 0, nat = 14, ntyp = 3
/
ATOMIC_SPECIES
Dy 162.50 Dy.upf
Er 167.26 Er.upf
Tm 168.93 Tm.upf
CELL_PARAMETERS angstrom
5.9479 0.0000 0.0000
2.9738 7.7508 0.0000
2.9664 -0.2169 9.2551
ATOMIC_POSITIONS crystal
Dy 0.0000 0.0000 0.0000
Dy 0.2812 0.1426 0.2837
Er 0.0995 0.5715 0.1416
Er 0.1113 0.5010 0.4999
Er 0.2999 0.0713 0.6418
Er 0.4045 0.6417 0.7836
Tm 0.4747 0.2174 0.9210
Tm 0.5025 0.7160 0.4215
Tm 0.5429 0.7836 0.0652
Tm 0.6754 0.3593 0.2173
Tm 0.7194 0.2847 0.5652
Tm 0.8597 0.8582 0.7180
Tm 0.8927 0.9256 0.3633
Tm 0.9333 0.4268 0.8622

---

! PBE LiCrGe, relaxed; values from VASP
! ΔE_f ... -0.064 eV per atom
! Symmetry ... No. 129
&SYSTEM
  ibrav = 0, nat = 6, ntyp = 3
/
ATOMIC_SPECIES
Li 6.94 Li.upf
Cr 52.00 Cr.upf
Ge 72.64 Ge.upf
CELL_PARAMETERS angstrom
3.5301 0.0000 0.0000
0.0000 3.5301 0.0000
0.0000 0.0000 7.0297
ATOMIC_POSITIONS crystal
Li 0.2500 0.2500 0.1412
Li 0.7500 0.7500 0.8588
Cr 0.2500 0.7500 0.5000
Cr 0.7500 0.2500 0.5000
Ge 0.2500 0.2500 0.7565
Ge 0.7500 0.7500 0.2435

---

! PBE Ho2ErFe9, relaxed; values from VASP
! ΔE_f ... -0.089 eV per atom
! Symmetry ... No. 166
&SYSTEM
  ibrav = 0, nat = 12, ntyp = 3
/
ATOMIC_SPECIES
Ho 164.93 Ho.upf
Er 167.26 Er.upf
Fe 55.84 Fe.upf
CELL_PARAMETERS angstrom
2.5327 1.4623 8.0544
-2.5327 1.4623 8.0544
0.0000 -2.9245 8.0544
ATOMIC_POSITIONS crystal
Ho 0.1418 0.1418 0.1418
Ho 0.8582 0.8582 0.8582
Er 0.0000 0.0000 0.0000
Fe 0.0814 0.5814 0.5814
Fe 0.3329 0.3329 0.3329
Fe 0.4186 0.4186 0.9186
Fe 0.4186 0.9186 0.4186
Fe 0.5000 0.5000 0.5000
Fe 0.5814 0.0814 0.5814
Fe 0.5814 0.5814 0.0814
Fe 0.6671 0.6671 0.6671
Fe 0.9186 0.4186 0.4186

---

! PBE PaGeHPd, relaxed; values from VASP
! Symmetry ... No. 156
! Total DFT energy (no corrections) ... -25.04 eV/cell
&SYSTEM
  ibrav = 0, nat = 4, ntyp = 4
/
ATOMIC_SPECIES
Pa 231.04 Pa.upf
Ge 72.64 Ge.upf
H 1.01 H.upf
Pd 106.42 Pd.upf
CELL_PARAMETERS angstrom
4.2717 0.0000 0.0000
-2.1358 3.6994 0.0000
0.0000 0.0000 3.9865
ATOMIC_POSITIONS crystal
Pa 0.0000 0.0000 0.0000
Ge 0.3333 0.6667 0.5479
H 0.6667 0.3333 0.9835
Pd 0.6667 0.3333 0.4355

---

! PBE Pm8Pr6Nd, relaxed; values from VASP
! ΔE_f ... 0.164 eV per atom
! Symmetry ... No. 147
&SYSTEM
  ibrav = 0, nat = 15, ntyp = 3
/
ATOMIC_SPECIES
Pm 145.00 Pm.upf
Pr 140.91 Pr.upf
Nd 144.24 Nd.upf
CELL_PARAMETERS angstrom
9.6382 0.0000 0.0000
-4.8191 8.3470 0.0000
0.0000 0.0000 6.7135
ATOMIC_POSITIONS crystal
Pm 0.0284 0.7471 0.1629
Pm 0.2529 0.2813 0.1629
Pm 0.2813 0.0284 0.8371
Pm 0.3333 0.6667 0.1117
Pm 0.6667 0.3333 0.8883
Pm 0.7187 0.9716 0.1629
Pm 0.7471 0.7187 0.8371
Pm 0.9716 0.2529 0.8371
Pr 0.0843 0.6506 0.6628
Pr 0.3494 0.4336 0.6628
Pr 0.4336 0.0843 0.3372
Pr 0.5664 0.9157 0.6628
Pr 0.6506 0.5664 0.3372
Pr 0.9157 0.3494 0.3372
Nd 0.0000 0.0000 0.5000

---

! PBE Ac3Tb2Mg3, relaxed; values from VASP
! ΔE_f ... -0.045 eV per atom
! Symmetry ... No. 71
&SYSTEM
  ibrav = 0, nat = 8, ntyp = 3
/
ATOMIC_SPECIES
Ac 227.00 Ac.upf
Tb 158.93 Tb.upf
Mg 24.30 Mg.upf
CELL_PARAMETERS angstrom
-1.9836 2.9101 11.7913
1.9836 -2.9101 11.7913
1.9836 2.9101 -11.7913
ATOMIC_POSITIONS crystal
Ac 0.0000 0.0000 0.0000
Ac 0.3729 0.8729 0.5000
Ac 0.6271 0.1271 0.5000
Tb 0.2360 0.2360 0.0000
Tb 0.7640 0.7640 0.0000
Mg 0.1247 0.6247 0.5000
Mg 0.5000 0.5000 0.0000
Mg 0.8753 0.3753 0.5000

---

! PBE Cr3Tc, relaxed; values from VASP
! ΔE_f ... 0.077 eV per atom
! Symmetry ... No. 65
&SYSTEM
  ibrav = 0, nat = 4, ntyp = 2
/
ATOMIC_SPECIES
Cr 52.00 Cr.upf
Tc 98.00 Tc.upf
CELL_PARAMETERS angstrom
1.4611 -2.0939 0.0000
1.4611 2.0939 0.0000
0.0000 0.0000 8.1586
ATOMIC_POSITIONS crystal
Cr 0.0000 0.0000 0.0000
Cr 0.5000 0.5000 0.2382
Cr 0.5000 0.5000 0.7618
Tc 0.0000 0.0000 0.5000

---

! PBE TaNiOs2, relaxed; values from VASP
! ΔE_f ... 0.167 eV per atom
! Symmetry ... No. 216
&SYSTEM
  ibrav = 0, nat = 4, ntyp = 3
/
ATOMIC_SPECIES
Ta 180.95 Ta.upf
Ni 58.69 Ni.upf
Os 190.23 Os.upf
CELL_PARAMETERS angstrom
0.0000 3.0846 3.0846
3.0846 0.0000 3.0846
3.0846 3.0846 0.0000
ATOMIC_POSITIONS crystal
Ta 0.0000 0.0000 0.0000
Ni 0.7500 0.7500 0.7500
Os 0.2500 0.2500 0.2500
Os 0.5000 0.5000 0.5000

---

! PBE Sr4Te3Cl4O8, relaxed; values from VASP
! Symmetry ... No. 5
! Formation energy from raw total energies ... -2.018 eV per atom
&SYSTEM
  ibrav = 0, nat = 38, ntyp = 4
/
ATOMIC_SPECIES
Sr 87.62 Sr.upf
Te 127.60 Te.upf
Cl 35.45 Cl.upf
O 16.00 O.upf
CELL_PARAMETERS angstrom
8.3518 -2.9559 0.0000
8.3518 2.9559 0.0000
-5.3729 0.0000 16.0146
ATOMIC_POSITIONS crystal
Sr 0.0512 0.0512 0.1845
Sr 0.1405 0.1760 0.4434
Sr 0.2720 0.2517 0.7019
Sr 0.3290 0.3940 0.9564
Sr 0.6060 0.6710 0.0436
Sr 0.7483 0.7280 0.2981
Sr 0.8240 0.8595 0.5566
Sr 0.9488 0.9488 0.8155
Te 0.2512 0.2804 0.1741
Te 0.3599 0.3692 0.4224
Te 0.4731 0.4552 0.6712
Te 0.5448 0.5269 0.3288
Te 0.6308 0.6401 0.5776
Te 0.7196 0.7488 0.8259
Cl 0.0236 0.1758 0.7471
Cl 0.0431 0.9569 0.0000
Cl 0.0877 0.9123 0.5000
Cl 0.2479 0.1468 0.9802
Cl 0.4988 0.4843 0.1235
Cl 0.5157 0.5012 0.8765
Cl 0.8242 0.9764 0.2529
Cl 0.8532 0.7521 0.0198
O 0.0344 0.5867 0.8259
O 0.0592 0.5280 0.4397
O 0.1569 0.6406 0.6829
O 0.2209 0.3808 0.2928
O 0.3594 0.8431 0.3171
O 0.4133 0.9656 0.1741
O 0.4720 0.9408 0.5603
O 0.4859 0.3382 0.5541
O 0.5287 0.0524 0.4188
O 0.5732 0.0611 0.8441
O 0.6192 0.7791 0.7072
O 0.6274 0.1624 0.6963
O 0.6618 0.5141 0.4459
O 0.8376 0.3726 0.3037
O 0.9389 0.4268 0.1559
O 0.9476 0.4713 0.5812

---

! PBE Cs3KNi2Br9, relaxed; values from VASP
! Symmetry ... No. 164
! Formation energy from raw total energies ... -1.036 eV per atom
&SYSTEM
  ibrav = 0, nat = 15, ntyp = 4
/
ATOMIC_SPECIES
Cs 132.91 Cs.upf
K 39.10 K.upf
Ni 58.69 Ni.upf
Br 79.90 Br.upf
CELL_PARAMETERS angstrom
7.6594 0.0000 0.0000
-3.8297 6.6332 0.0000
0.0000 0.0000 10.0514
ATOMIC_POSITIONS crystal
Cs 0.0000 0.0000 0.0000
Cs 0.3333 0.6667 0.6958
Cs 0.6667 0.3333 0.3042
K 0.0000 0.0000 0.5000
Ni 0.3333 0.6667 0.1554
Ni 0.6667 0.3333 0.8446
Br 0.0000 0.5000 0.0000
Br 0.1804 0.3607 0.2911
Br 0.1804 0.8196 0.2911
Br 0.3607 0.1804 0.7089
Br 0.5000 0.0000 0.0000
Br 0.5000 0.5000 0.0000
Br 0.6393 0.8196 0.2911
Br 0.8196 0.1804 0.7089
Br 0.8196 0.6393 0.7089